# NiMoP2O8

A geometry-optimized NiMoP2O8 structure (GGA+U, the Alexandria database).

a = 5.1830 Å, b = 5.1830 Å, c = 6.0235 Å
α = 90.00°, β = 90.00°, γ = 120.00°
Space group P-3m1 (No. 164)
Unique sites:
Ni 0.0000 0.0000 0.0000 (multiplicity 1)
Mo 0.0000 0.0000 0.5000 (multiplicity 1)
P 0.3333 0.6667 0.6798 (multiplicity 2)
O 0.1678 0.3355 0.7636 (multiplicity 6)
O 0.3333 0.6667 0.4302 (multiplicity 2)

Output
Electronic total energy: -6.7121 eV/atom
Calculated density: 4.1 g/cm3
Size of the total moment: 4.0 μB/f.u.
Crystal system: trigonal
Fermi-level density of states: 6.79 states/eV/f.u.